(1)
YBeCuAu6 after structural relaxation, computed with GGA-PBE.

SG: No. 74
Density of states at the Fermi level: 6.772 states/eV per cell
Crystal system: orthorhombic
Raw total energy: -71.90 eV for the cell shown

a b c (Å): 7.816 7.816 7.816
angles (deg): 126.41 112.07 91.76
Element x y z (fractional)
1 Y 0.467 0.217 0.250
2 Y 0.533 0.783 0.750
3 Be 0.000 0.000 0.000
4 Be 0.500 0.000 0.500
5 Cu 0.000 0.000 0.500
6 Cu 0.000 0.500 0.000
7 Au 0.136 0.411 0.296
8 Au 0.136 0.840 0.725
9 Au 0.179 0.929 0.250
10 Au 0.236 0.486 0.750
11 Au 0.385 0.160 0.796
12 Au 0.385 0.589 0.225
13 Au 0.615 0.411 0.775
14 Au 0.615 0.840 0.204
15 Au 0.764 0.514 0.250
16 Au 0.821 0.071 0.750
17 Au 0.864 0.160 0.275
18 Au 0.864 0.589 0.704

(2)
YBe2CuAu5 after structural relaxation, computed with GGA-PBE.

SG: No. 123
Density of states at the Fermi level: 3.749 states/eV per cell
Crystal system: tetragonal
Raw total energy: -36.58 eV for the cell shown

a b c (Å): 4.625 4.625 7.091
angles (deg): 90.00 90.00 90.00
Element x y z (fractional)
1 Y 0.000 0.000 0.000
2 Be 0.500 0.500 0.340
3 Be 0.500 0.500 0.660
4 Cu 0.000 0.000 0.500
5 Au 0.000 0.500 0.290
6 Au 0.000 0.500 0.710
7 Au 0.500 0.000 0.290
8 Au 0.500 0.000 0.710
9 Au 0.500 0.500 0.000

(3)
YBeCuAu2 after structural relaxation, computed with GGA-PBE.

SG: No. 123
Density of states at the Fermi level: 2.551 states/eV per cell
Crystal system: tetragonal
Raw total energy: -22.45 eV for the cell shown

a b c (Å): 4.547 4.547 4.318
angles (deg): 90.00 90.00 90.00
Element x y z (fractional)
1 Y 0.000 0.000 0.000
2 Be 0.500 0.500 0.500
3 Cu 0.500 0.500 0.000
4 Au 0.000 0.500 0.500
5 Au 0.500 0.000 0.500

Energy of formation for every record listed, in sequence, given in eV/atom: -0.2222; -0.2423; -0.3217.